No. 1
# Y2Ho6Sc (PBE-GGA, relaxed)
# Formation energy from the elements in eV/atom: 0.033
data_Y2Ho6Sc
_chemical_formula_sum 'Y4 Ho12 Sc2'
_cell_length_a 18.194
_cell_length_b 3.514
_cell_length_c 8.578
_cell_angle_alpha 90.00
_cell_angle_beta 90.13
_cell_angle_gamma 90.00
_space_group_name_H-M_alt 'C 1 2/m 1'
_space_group_IT_number 12
_space_group_name_Hall '-C 2y'
loop_
_atom_site_label
_atom_site_type_symbol
_atom_site_fract_x
_atom_site_fract_y
_atom_site_fract_z
Y1 Y 0.054 0.000 0.328
Ho1 Ho 0.111 0.500 0.669
Ho2 Ho 0.164 0.000 0.000
Ho3 Ho 0.223 0.500 0.332
Sc1 Sc 0.000 0.500 0.000

***

No. 2
# SrLa2Hg2 (PBE-GGA, relaxed)
# Formation energy from the elements in eV/atom: -0.394
data_SrLa2Hg2
_chemical_formula_sum 'Sr2 La4 Hg4'
_cell_length_a 3.914
_cell_length_b 5.647
_cell_length_c 14.907
_cell_angle_alpha 90.00
_cell_angle_beta 97.61
_cell_angle_gamma 90.00
_space_group_name_H-M_alt 'P 1 21/m 1'
_space_group_IT_number 11
_space_group_name_Hall '-P 2yb'
loop_
_atom_site_label
_atom_site_type_symbol
_atom_site_fract_x
_atom_site_fract_y
_atom_site_fract_z
Sr1 Sr 0.142 0.250 0.283
La1 La 0.049 0.750 0.097
La2 La 0.232 0.750 0.466
Hg1 Hg 0.357 0.250 0.713
Hg2 Hg 0.457 0.750 0.914

***

No. 3
# Si2Os (PBE-GGA, relaxed)
# ΔE_f (raw) in eV per atom: 0.137
data_Si2Os
_chemical_formula_sum 'Si4 Os2'
_cell_length_a 2.873
_cell_length_b 2.873
_cell_length_c 10.508
_cell_angle_alpha 90.00
_cell_angle_beta 90.00
_cell_angle_gamma 90.00
_space_group_name_H-M_alt 'I 4/m m m'
_space_group_IT_number 139
_space_group_name_Hall '-I 4 2'
loop_
_atom_site_label
_atom_site_type_symbol
_atom_site_fract_x
_atom_site_fract_y
_atom_site_fract_z
Si1 Si 0.000 0.000 0.147
Os1 Os 0.000 0.000 0.500